Entry 1:
Entry from the Alexandria database: a geometry-optimized LiCd12Ag6 structure (PBE-GGA).

Structure (POSCAR):
```
LiCd12Ag6
1.0
5.110 2.950 4.232
-5.110 2.950 4.232
0.000 -5.900 4.232
Li Cd Ag
1 12 6
Cartesian
0.000 0.000 0.000
-0.570 -1.631 2.366
-1.127 1.309 2.366
-1.411 -1.367 5.236
1.697 0.321 2.366
-1.889 0.539 7.460
-0.478 1.906 5.236
0.478 -1.906 7.460
1.889 -0.539 5.236
-1.697 -0.321 10.330
1.411 1.367 7.460
1.127 -1.309 10.330
0.570 1.631 10.330
-3.183 0.937 4.706
0.780 -3.225 4.706
-2.403 -2.288 7.991
2.403 2.288 4.706
-0.780 3.225 7.991
3.183 -0.937 7.991
```

Space group   No. 148
ΔE_f   -1.84 kcal/mol of atoms
Total energy   -31.516 eV per cell



Entry 2:
Entry from the Alexandria database: a geometry-optimized LiCd3Ag4 structure (PBE-GGA).

Structure (POSCAR):
```
LiCd3Ag4
1.0
-2.860 4.819 2.802
2.860 -4.819 2.802
2.860 4.819 -2.802
Li Cd Ag
1 3 4
Cartesian
0.000 0.000 0.000
2.860 2.521 1.248
0.000 2.297 4.050
0.000 4.819 2.595
0.000 2.352 1.233
1.432 4.819 -0.178
1.428 0.000 2.623
0.000 7.285 1.233
```

Space group   No. 44
ΔE_f   -0.46 kcal/mol of atoms
Total energy   -16.224 eV per cell
Excess energy over the best structure of this formula in the dataset   72.3 kJ/mol of formula units



Entry 3:
Entry from the Alexandria database: a geometry-optimized Li8Cd3Ag structure (PBE-GGA).

Structure (POSCAR):
```
Li8Cd3Ag
1.0
-3.649 3.649 4.876
3.649 -3.649 4.876
3.649 3.649 -4.876
Li Cd Ag
8 3 1
Cartesian
2.692 2.692 -2.336
1.778 -1.778 4.723
1.871 1.871 0.153
0.957 0.957 2.540
0.957 -0.957 7.212
-1.778 1.778 4.723
1.778 1.778 5.028
-0.957 0.957 7.212
0.000 0.000 0.000
3.649 0.000 2.438
0.000 3.649 2.438
0.000 0.000 4.876
```

Space group   No. 121
ΔE_f   0.57 kcal/mol of atoms
Total energy   -20.609 eV per cell
Excess energy over the best structure of this formula in the dataset   12.5 kJ/mol of formula units



Entry 4:
Entry from the Alexandria database: a geometry-optimized Li8Cd3Ag2 structure (PBE-GGA).

Structure (POSCAR):
```
Li8Cd3Ag2
1.0
2.616 1.511 10.078
-2.616 1.511 10.078
0.000 -3.021 10.078
Li Cd Ag
8 3 2
Cartesian
0.000 0.000 6.646
0.000 -1.504 11.959
-1.302 0.752 11.959
-1.302 -0.752 18.276
1.302 0.752 11.959
1.302 -0.752 18.276
0.000 1.504 18.276
0.000 0.000 23.588
0.000 0.000 9.541
0.000 0.000 15.117
0.000 0.000 20.694
0.000 0.000 4.074
0.000 0.000 26.161
```

Space group   No. 166
ΔE_f   -1.63 kcal/mol of atoms
Total energy   -24.678 eV per cell
Excess energy over the best structure of this formula in the dataset   127.6 kJ/mol of formula units



Entry 5:
Entry from the Alexandria database: a geometry-optimized Li5Cd2Ag3 structure (PBE-GGA).

Structure (POSCAR):
```
Li5Cd2Ag3
1.0
-4.902 6.972 2.625
4.902 -6.972 2.625
4.902 6.972 -2.625
Li Cd Ag
10 4 6
Cartesian
5.775 2.318 0.000
2.461 6.972 -1.312
0.000 0.000 1.312
2.440 0.000 1.312
0.873 4.655 0.000
4.028 2.318 2.625
2.461 6.972 1.312
0.000 0.000 3.937
2.440 0.000 3.937
-0.873 4.655 2.625
3.966 -4.668 2.625
3.966 4.668 0.000
0.936 2.304 2.625
0.936 11.641 0.000
2.341 2.310 0.000
4.902 0.000 1.312
2.341 -2.310 2.625
2.560 9.282 0.000
0.000 6.972 1.312
2.560 4.663 2.625
```

Space group   No. 72
ΔE_f   -2.19 kcal/mol of atoms
Total energy   -41.805 eV per cell
Excess energy over the best structure of this formula in the dataset   91.0 kJ/mol of formula units



Entry 6:
Entry from the Alexandria database: a geometry-optimized Li3Cd2Ag6 structure (PBE-GGA).

Structure (POSCAR):
```
Li3Cd2Ag6
1.0
5.806 0.000 0.000
0.874 5.824 0.000
1.637 1.513 6.121
Li Cd Ag
3 2 6
Cartesian
0.000 0.000 0.000
4.145 5.234 3.138
4.172 2.103 2.984
2.663 3.704 1.052
5.654 3.634 5.069
1.294 2.084 3.232
2.767 3.835 5.000
2.417 0.785 1.039
5.900 6.552 5.082
5.550 3.503 1.121
7.023 5.253 2.889
```

Space group   No. 2
ΔE_f   -2.03 kcal/mol of atoms
Total energy   -25.647 eV per cell



Among the records above, which one has the lowest total energy? Li5Cd2Ag3



Look up the ΔE_f of the third one. 0.57 kcal/mol of atoms



Repeat the first record exactly.
Entry from the Alexandria database: a geometry-optimized LiCd12Ag6 structure (PBE-GGA).

Structure (POSCAR):
```
LiCd12Ag6
1.0
5.110 2.950 4.232
-5.110 2.950 4.232
0.000 -5.900 4.232
Li Cd Ag
1 12 6
Cartesian
0.000 0.000 0.000
-0.570 -1.631 2.366
-1.127 1.309 2.366
-1.411 -1.367 5.236
1.697 0.321 2.366
-1.889 0.539 7.460
-0.478 1.906 5.236
0.478 -1.906 7.460
1.889 -0.539 5.236
-1.697 -0.321 10.330
1.411 1.367 7.460
1.127 -1.309 10.330
0.570 1.631 10.330
-3.183 0.937 4.706
0.780 -3.225 4.706
-2.403 -2.288 7.991
2.403 2.288 4.706
-0.780 3.225 7.991
3.183 -0.937 7.991
```

Space group   No. 148
ΔE_f   -1.84 kcal/mol of atoms
Total energy   -31.516 eV per cell



Repeat the first record exactly.
Entry from the Alexandria database: a geometry-optimized LiCd12Ag6 structure (PBE-GGA).

Structure (POSCAR):
```
LiCd12Ag6
1.0
5.110 2.950 4.232
-5.110 2.950 4.232
0.000 -5.900 4.232
Li Cd Ag
1 12 6
Cartesian
0.000 0.000 0.000
-0.570 -1.631 2.366
-1.127 1.309 2.366
-1.411 -1.367 5.236
1.697 0.321 2.366
-1.889 0.539 7.460
-0.478 1.906 5.236
0.478 -1.906 7.460
1.889 -0.539 5.236
-1.697 -0.321 10.330
1.411 1.367 7.460
1.127 -1.309 10.330
0.570 1.631 10.330
-3.183 0.937 4.706
0.780 -3.225 4.706
-2.403 -2.288 7.991
2.403 2.288 4.706
-0.780 3.225 7.991
3.183 -0.937 7.991
```

Space group   No. 148
ΔE_f   -1.84 kcal/mol of atoms
Total energy   -31.516 eV per cell